Computed, not measured: an optimized crystal structure of Ba3Ac at the PBE level of DFT.

Values from the calculation:
The crystal system is tetragonal. Its density of states at the Fermi level is 11.87 states/eV/cell. For the total DFT energy (no corrections), the calculation gives -18.912 eV for the cell shown. As for the space group: I4/mmm, No. 139. For the polymorph energy (0 for the lowest one), the calculation gives 38 meV per atom.

a b c (Å): 6.075 6.075 12.133
angles (deg): 90.00 90.00 90.00
Fractional coordinates of all 8 atoms:
1 Ba 0.000 0.000 0.000
2 Ba 0.000 0.500 0.250
3 Ba 0.000 0.500 0.750
4 Ba 0.500 0.000 0.250
5 Ba 0.500 0.000 0.750
6 Ba 0.500 0.500 0.500
7 Ac 0.000 0.000 0.500
8 Ac 0.500 0.500 0.000